Record 1
Here is an optimized crystal structure of Mn7SbAsO12 from Alexandria. Energies are from PBE+U.

a = 11.0812 Å, b = 11.0812 Å, c = 11.0812 Å
α = 147.46°, β = 132.31°, γ = 58.93°
With the nearest neighbours (Å) after each atom.
Element x y z (fractional)
O  0.5728  0.8541  0.2733  1 Sb 2.03, 2 Mn 2.07-2.22
O  0.5728  0.2995  0.7187  1 Sb 2.03, 2 Mn 2.07-2.22
O  0.1125  0.8289  0.2836  5 Mn 2.17-2.20
O  0.9548  0.6711  0.2836  5 Mn 2.17-2.20
O  0.7856  0.5098  0.2757  1 Sb 2.02, 3 Mn 2.07-2.23
O  0.4272  0.1459  0.7267  1 Sb 2.03, 2 Mn 2.07-2.22
O  0.0452  0.3289  0.7164  5 Mn 2.17-2.20
O  0.2613  0.0176  0.7790  1 As 1.74
O  0.9192  0.6459  0.7187  1 Sb 2.03, 2 Mn 2.07-2.22
O  0.5942  0.8240  0.7702  1 As 1.73
O  0.9192  0.2005  0.2733  1 Sb 2.03, 2 Mn 2.07-2.22
O  0.8875  0.1711  0.7164  5 Mn 2.17-2.20
O  0.2613  0.4824  0.2437  1 As 1.74
O  0.5539  0.3240  0.2298  1 As 1.73
O  0.4461  0.6760  0.7702  1 As 1.73
O  0.2144  0.4902  0.7243  1 Sb 2.02, 3 Mn 2.07-2.23
O  0.0808  0.7995  0.7267  1 Sb 2.03, 2 Mn 2.07-2.22
O  0.4272  0.7005  0.2813  1 Sb 2.03, 2 Mn 2.07-2.22
O  0.7341  0.0098  0.7243  1 Sb 2.02, 3 Mn 2.07-2.23
O  0.7387  0.5176  0.7563  1 As 1.74
O  0.4058  0.1760  0.2298  1 As 1.73
O  0.2659  0.9902  0.2757  1 Sb 2.02, 3 Mn 2.07-2.23
O  0.0808  0.3541  0.2813  1 Sb 2.03, 2 Mn 2.07-2.22
O  0.7387  0.9824  0.2210  1 As 1.74
Mn  0.1911  0.6660  0.5250  6 O 2.17-2.32
Mn  0.8089  0.3340  0.4750  6 O 2.17-2.32
Mn  0.8420  0.3420  0.0000  6 O 2.20-2.30
Mn  0.1580  0.1580  0.5000  6 O 2.20-2.30
Mn  0.6410  0.1660  0.4750  6 O 2.17-2.32
Mn  0.5578  0.4261  0.1317  4 O 2.07-2.16
Mn  0.7944  0.9261  0.8683  4 O 2.07-2.16
Mn  0.2056  0.0739  0.1317  4 O 2.07-2.16
Mn  0.8420  0.8420  0.5000  6 O 2.20-2.30
Mn  0.4422  0.5739  0.8683  4 O 2.07-2.16
Mn  0.3590  0.8340  0.5250  6 O 2.17-2.32
Mn  0.0000  0.5000  0.0000  6 O 2.20-2.34
Mn  0.0000  0.0000  0.5000  6 O 2.20-2.34
Mn  0.1580  0.6580  0.0000  6 O 2.20-2.30
Sb  0.5000  0.0000  0.5000  6 O 2.02-2.03
Sb  0.0000  0.5000  0.5000  6 O 2.02-2.03
As  0.6294  0.7500  0.8794  4 O 1.73-1.74
As  0.3706  0.2500  0.1206  4 O 1.73-1.74

VASP energy in eV per atom: -7.353

***

Record 2
Here is an optimized crystal structure of Ta3WF from Alexandria. Energies are from PBE+U.

a = 4.3423 Å, b = 4.3423 Å, c = 4.3423 Å
α = 90.00°, β = 90.00°, γ = 90.00°
With the nearest neighbours (Å) after each atom.
Element x y z (fractional)
Ta  0.0000  0.5000  0.0000  2 F 2.17
Ta  0.0000  0.0000  0.5000  2 F 2.17
Ta  0.5000  0.0000  0.0000  2 F 2.17
W  0.5000  0.5000  0.5000  12 Ta 3.07
F  0.0000  0.0000  0.0000  6 Ta 2.17

VASP energy in eV per atom: -8.499

***

> VASP energy of number 2 (Ta3WF)?

-8.499 eV per atom